[1]
The following is a DFT calculation (PBE) of an optimized crystal structure of Sc2Zn2SiNi5.

- magnetization (μB/atom) = 0.000
- formation energy from raw total energies (eV per atom) = -0.349
- electronic total energy (eV/f.u.) = -53.03
- symmetry = P4/mbm, No. 127

extended XYZ file:
```
20
Lattice="3.125 0.000 0.000 0.000 9.397 0.000 0.000 0.000 9.397" Properties=species:S:1:pos:R:3 pbc="T T T"
Sc 0.000 6.305 1.606
Sc 0.000 3.093 7.791
Sc 0.000 1.606 3.093
Sc 0.000 7.791 6.305
Zn 0.000 1.237 5.936
Zn 0.000 8.160 3.461
Zn 0.000 5.936 8.160
Zn 0.000 3.461 1.237
Si 0.000 0.000 0.000
Si 0.000 4.699 4.699
Ni 1.562 1.783 0.404
Ni 1.562 7.614 8.993
Ni 1.562 0.404 7.614
Ni 1.562 6.482 4.295
Ni 1.562 8.993 1.783
Ni 1.562 2.916 5.103
Ni 1.562 5.103 6.482
Ni 1.562 4.295 2.916
Ni 1.562 4.699 0.000
Ni 1.562 0.000 4.699
```



[2]
The following is a DFT calculation (PBE) of an optimized crystal structure of PuCuI.

- magnetization (μB/atom) = 1.980
- formation energy from raw total energies (eV per atom) = -0.299
- electronic total energy (eV/f.u.) = -20.87
- symmetry = I4/mmm, No. 139

extended XYZ file:
```
6
Lattice="-1.811 2.597 -1.735 1.330 -1.173 -3.144 -10.001 -8.745 1.105" Properties=species:S:1:pos:R:3 pbc="T T T"
Cu -5.513 -4.324 -0.718
Cu -4.969 -2.997 -3.056
Pu -3.267 -2.563 -0.426
Pu -7.215 -4.758 -3.348
I -1.964 -0.640 -2.664
I -8.517 -6.681 -1.110
```



[3]
The following is a DFT calculation (PBE) of an optimized crystal structure of Rb2VAsRu.

- magnetization (μB/atom) = 1.070
- electronic total energy (eV/f.u.) = -19.49
- symmetry = P4/mmm, No. 123
- formation energy (eV per atom) = 1.098

extended XYZ file:
```
5
Lattice="-0.460 5.005 -4.260 -3.457 1.791 2.477 4.340 3.438 3.571" Properties=species:S:1:pos:R:3 pbc="T T T"
Ru -1.728 0.895 1.239
As 0.000 0.000 0.000
Rb 2.170 1.719 1.785
Rb -0.230 2.502 -2.130
V 0.211 5.117 0.894
```



Question: What is the electronic total energy in the second record?
Answer: -20.87 eV/f.u.



Question: Which value of electronic total energy does entry 3 give?
Answer: -19.49 eV/f.u.